No. 1
# Th2GaAg3 (PBE, relaxed)
data_Th2GaAg3
_chemical_formula_sum 'Th4 Ga2 Ag6'
_symmetry_space_group_name_H-M 'P 1'
_symmetry_Int_Tables_number 1
_symmetry_space_group_name_Hall 'P 1'
_cell_length_a 3.642
_cell_length_b 4.571
_cell_length_c 17.477
_cell_angle_alpha 90.00
_cell_angle_beta 90.00
_cell_angle_gamma 90.00
loop_
_atom_site_label
_atom_site_fract_x
_atom_site_fract_y
_atom_site_fract_z
Th1 0.000 0.000 0.000
Th2 0.000 0.500 0.231
Th3 0.500 0.000 0.731
Th4 0.500 0.500 0.500
Ga1 0.000 0.000 0.578
Ga2 0.500 0.500 0.078
Ag1 0.000 0.000 0.424
Ag2 0.000 0.500 0.653
Ag3 0.000 0.500 0.811
Ag4 0.500 0.000 0.153
Ag5 0.500 0.000 0.311
Ag6 0.500 0.500 0.924
# Energy of formation, meV per atom: -135


No. 2
# Pm6Ge2BiTe3 (PBE, relaxed)
data_Pm6Ge2BiTe3
_chemical_formula_sum 'Pm6 Ge2 Bi1 Te3'
_symmetry_space_group_name_H-M 'P 1'
_symmetry_Int_Tables_number 1
_symmetry_space_group_name_Hall 'P 1'
_cell_length_a 9.926
_cell_length_b 9.926
_cell_length_c 8.937
_cell_angle_alpha 103.18
_cell_angle_beta 103.18
_cell_angle_gamma 25.67
loop_
_atom_site_label
_atom_site_fract_x
_atom_site_fract_y
_atom_site_fract_z
Pm1 0.011 0.011 0.255
Pm2 0.327 0.327 0.430
Pm3 0.331 0.331 0.892
Pm4 0.669 0.669 0.108
Pm5 0.673 0.673 0.570
Pm6 0.989 0.989 0.745
Ge1 0.168 0.168 0.336
Ge2 0.832 0.832 0.664
Bi1 0.500 0.500 0.000
Te1 0.163 0.163 0.834
Te2 0.500 0.500 0.500
Te3 0.837 0.837 0.166
# Formation energy from raw total energies, eV per atom: -1.23


No. 3
# LiHfAl6 (PBE, relaxed)
data_LiHfAl6
_chemical_formula_sum 'Li1 Hf1 Al6'
_symmetry_space_group_name_H-M 'P 1'
_symmetry_Int_Tables_number 1
_symmetry_space_group_name_Hall 'P 1'
_cell_length_a 4.043
_cell_length_b 4.043
_cell_length_c 8.164
_cell_angle_alpha 90.00
_cell_angle_beta 90.00
_cell_angle_gamma 90.00
loop_
_atom_site_label
_atom_site_fract_x
_atom_site_fract_y
_atom_site_fract_z
Li1 0.000 0.000 0.000
Hf1 0.000 0.000 0.500
Al1 0.000 0.500 0.243
Al2 0.000 0.500 0.757
Al3 0.500 0.000 0.243
Al4 0.500 0.000 0.757
Al5 0.500 0.500 0.000
Al6 0.500 0.500 0.500
# Energy of formation, meV per atom: -242


No. 4
# Pu2CCl2 (PBE, relaxed)
data_Pu2CCl2
_chemical_formula_sum 'Pu4 C2 Cl4'
_symmetry_space_group_name_H-M 'P 1'
_symmetry_Int_Tables_number 1
_symmetry_space_group_name_Hall 'P 1'
_cell_length_a 7.078
_cell_length_b 7.078
_cell_length_c 9.717
_cell_angle_alpha 90.00
_cell_angle_beta 90.00
_cell_angle_gamma 152.51
loop_
_atom_site_label
_atom_site_fract_x
_atom_site_fract_y
_atom_site_fract_z
Pu1 0.024 0.976 0.500
Pu2 0.220 0.780 0.694
Pu3 0.780 0.220 0.194
Pu4 0.976 0.024 0.000
C1 0.379 0.621 0.092
C2 0.621 0.379 0.592
Cl1 0.102 0.898 0.234
Cl2 0.336 0.664 0.432
Cl3 0.664 0.336 0.932
Cl4 0.898 0.102 0.734
# Formation energy from raw total energies, eV per atom: -0.84


No. 5
# PaCO (PBE, relaxed)
data_PaCO
_chemical_formula_sum 'Pa4 C4 O4'
_symmetry_space_group_name_H-M 'P 1'
_symmetry_Int_Tables_number 1
_symmetry_space_group_name_Hall 'P 1'
_cell_length_a 5.499
_cell_length_b 5.499
_cell_length_c 5.499
_cell_angle_alpha 90.00
_cell_angle_beta 90.00
_cell_angle_gamma 90.00
loop_
_atom_site_label
_atom_site_fract_x
_atom_site_fract_y
_atom_site_fract_z
Pa1 0.000 0.000 0.000
Pa2 0.000 0.500 0.500
Pa3 0.500 0.000 0.500
Pa4 0.500 0.500 0.000
C1 0.250 0.250 0.750
C2 0.250 0.750 0.250
C3 0.750 0.250 0.250
C4 0.750 0.750 0.750
O1 0.250 0.250 0.250
O2 0.250 0.750 0.750
O3 0.750 0.250 0.750
O4 0.750 0.750 0.250
# Formation energy from raw total energies, eV per atom: -1.41


No. 6
# Al3ReSi (PBE, relaxed)
data_Al3ReSi
_chemical_formula_sum 'Al3 Re1 Si1'
_symmetry_space_group_name_H-M 'P 1'
_symmetry_Int_Tables_number 1
_symmetry_space_group_name_Hall 'P 1'
_cell_length_a 4.773
_cell_length_b 4.773
_cell_length_c 4.773
_cell_angle_alpha 90.00
_cell_angle_beta 90.00
_cell_angle_gamma 90.00
loop_
_atom_site_label
_atom_site_fract_x
_atom_site_fract_y
_atom_site_fract_z
Al1 0.000 0.000 0.500
Al2 0.000 0.500 0.000
Al3 0.500 0.000 0.000
Re1 0.000 0.000 0.000
Si1 0.500 0.500 0.500
# Formation energy from raw total energies, eV per atom: 0.68


No. 7
# Ac2PuSn4Au3 (PBE, relaxed)
data_Ac2PuSn4Au3
_chemical_formula_sum 'Ac2 Pu1 Sn4 Au3'
_symmetry_space_group_name_H-M 'P 1'
_symmetry_Int_Tables_number 1
_symmetry_space_group_name_Hall 'P 1'
_cell_length_a 4.680
_cell_length_b 4.680
_cell_length_c 12.657
_cell_angle_alpha 90.00
_cell_angle_beta 90.00
_cell_angle_gamma 90.00
loop_
_atom_site_label
_atom_site_fract_x
_atom_site_fract_y
_atom_site_fract_z
Ac1 0.000 0.500 0.238
Ac2 0.500 0.000 0.762
Pu1 0.000 0.000 0.500
Sn1 0.000 0.000 0.000
Sn2 0.000 0.500 0.655
Sn3 0.500 0.000 0.345
Sn4 0.500 0.500 0.000
Au1 0.000 0.500 0.869
Au2 0.500 0.000 0.131
Au3 0.500 0.500 0.500
# Energy of formation, meV per atom: -519


No. 8
# CdTc2Cl (PBE, relaxed)
data_CdTc2Cl
_chemical_formula_sum 'Cd2 Tc4 Cl2'
_symmetry_space_group_name_H-M 'P 1'
_symmetry_Int_Tables_number 1
_symmetry_space_group_name_Hall 'P 1'
_cell_length_a 3.046
_cell_length_b 5.069
_cell_length_c 9.062
_cell_angle_alpha 90.00
_cell_angle_beta 90.00
_cell_angle_gamma 90.00
loop_
_atom_site_label
_atom_site_fract_x
_atom_site_fract_y
_atom_site_fract_z
Cd1 0.000 0.000 0.000
Cd2 0.500 0.500 0.000
Tc1 0.000 0.000 0.487
Tc2 0.000 0.500 0.273
Tc3 0.500 0.000 0.273
Tc4 0.500 0.500 0.487
Cl1 0.000 0.500 0.720
Cl2 0.500 0.000 0.720
# Formation energy from raw total energies, eV per atom: 0.35


No. 9
# MoPtC (PBE, relaxed)
data_MoPtC
_chemical_formula_sum 'Mo4 Pt4 C4'
_symmetry_space_group_name_H-M 'P 1'
_symmetry_Int_Tables_number 1
_symmetry_space_group_name_Hall 'P 1'
_cell_length_a 4.012
_cell_length_b 9.701
_cell_length_c 4.014
_cell_angle_alpha 90.00
_cell_angle_beta 90.00
_cell_angle_gamma 90.00
loop_
_atom_site_label
_atom_site_fract_x
_atom_site_fract_y
_atom_site_fract_z
Mo1 0.000 0.249 0.250
Mo2 0.000 0.751 0.750
Mo3 0.500 0.251 0.750
Mo4 0.500 0.749 0.250
Pt1 0.240 0.000 0.000
Pt2 0.260 0.500 0.500
Pt3 0.740 0.500 0.000
Pt4 0.760 0.000 0.500
C1 0.000 0.328 0.750
C2 0.000 0.672 0.250
C3 0.500 0.172 0.250
C4 0.500 0.828 0.750
# Energy of formation, meV per atom: 80


No. 10
# Mg2GaPt (PBE, relaxed)
data_Mg2GaPt
_chemical_formula_sum 'Mg8 Ga4 Pt4'
_symmetry_space_group_name_H-M 'P 1'
_symmetry_Int_Tables_number 1
_symmetry_space_group_name_Hall 'P 1'
_cell_length_a 9.006
_cell_length_b 9.006
_cell_length_c 4.875
_cell_angle_alpha 90.00
_cell_angle_beta 90.00
_cell_angle_gamma 90.00
loop_
_atom_site_label
_atom_site_fract_x
_atom_site_fract_y
_atom_site_fract_z
Mg1 0.119 0.250 0.125
Mg2 0.250 0.619 0.375
Mg3 0.250 0.881 0.875
Mg4 0.381 0.250 0.625
Mg5 0.619 0.750 0.625
Mg6 0.750 0.119 0.875
Mg7 0.750 0.381 0.375
Mg8 0.881 0.750 0.125
Ga1 0.000 0.000 0.500
Ga2 0.000 0.500 0.750
Ga3 0.500 0.000 0.250
Ga4 0.500 0.500 0.000
Pt1 0.000 0.000 0.000
Pt2 0.000 0.500 0.250
Pt3 0.500 0.000 0.750
Pt4 0.500 0.500 0.500
# Energy of formation, meV per atom: -293


No. 11
# BaTa2Sb (PBE, relaxed)
data_BaTa2Sb
_chemical_formula_sum 'Ba1 Ta2 Sb1'
_symmetry_space_group_name_H-M 'P 1'
_symmetry_Int_Tables_number 1
_symmetry_space_group_name_Hall 'P 1'
_cell_length_a 3.841
_cell_length_b 4.859
_cell_length_c 5.146
_cell_angle_alpha 90.00
_cell_angle_beta 90.00
_cell_angle_gamma 90.00
loop_
_atom_site_label
_atom_site_fract_x
_atom_site_fract_y
_atom_site_fract_z
Ba1 0.000 0.000 0.000
Ta1 0.000 0.500 0.500
Ta2 0.500 0.500 0.000
Sb1 0.500 0.000 0.500
# Formation energy from raw total energies, eV per atom: 0.94


No. 12
# InC3 (PBE, relaxed)
data_InC3
_chemical_formula_sum 'In2 C6'
_symmetry_space_group_name_H-M 'P 1'
_symmetry_Int_Tables_number 1
_symmetry_space_group_name_Hall 'P 1'
_cell_length_a 3.584
_cell_length_b 6.172
_cell_length_c 5.656
_cell_angle_alpha 90.00
_cell_angle_beta 90.00
_cell_angle_gamma 90.00
loop_
_atom_site_label
_atom_site_fract_x
_atom_site_fract_y
_atom_site_fract_z
In1 0.000 0.000 0.000
In2 0.500 0.500 0.500
C1 0.000 0.289 0.790
C2 0.000 0.500 0.828
C3 0.000 0.711 0.790
C4 0.500 0.000 0.328
C5 0.500 0.211 0.290
C6 0.500 0.789 0.290
# Energy of formation, meV per atom: 1537


No. 13
# NaInHgI3 (PBE, relaxed)
data_NaInHgI3
_chemical_formula_sum 'Na2 In2 Hg2 I6'
_symmetry_space_group_name_H-M 'P 1'
_symmetry_Int_Tables_number 1
_symmetry_space_group_name_Hall 'P 1'
_cell_length_a 10.309
_cell_length_b 10.309
_cell_length_c 9.876
_cell_angle_alpha 112.38
_cell_angle_beta 112.38
_cell_angle_gamma 33.54
loop_
_atom_site_label
_atom_site_fract_x
_atom_site_fract_y
_atom_site_fract_z
Na1 0.215 0.215 0.340
Na2 0.785 0.785 0.660
In1 0.452 0.452 0.669
In2 0.548 0.548 0.331
Hg1 0.202 0.202 0.981
Hg2 0.798 0.798 0.019
I1 0.031 0.031 0.258
I2 0.299 0.299 0.697
I3 0.385 0.385 0.347
I4 0.615 0.615 0.653
I5 0.701 0.701 0.303
I6 0.969 0.969 0.742
# Formation energy from raw total energies, eV per atom: -0.59